Density functional theory data (PBE) for ZrAl2VCl after structural relaxation.

Cell and atoms, written as CIF:
```
data_ZrAl2VCl
_chemical_formula_sum 'Zr1 Al2 V1 Cl1'
_cell_length_a 4.9299
_cell_length_b 4.9299
_cell_length_c 4.8057
_cell_angle_alpha 90.00
_cell_angle_beta 90.00
_cell_angle_gamma 90.00
_symmetry_space_group_name_H-M 'P 4/m m m'
_symmetry_Int_Tables_number 123
_symmetry_space_group_name_Hall '-P 4 2'
loop_
_atom_site_label
_atom_site_fract_x
_atom_site_fract_y
_atom_site_fract_z
_atom_site_occupancy
Zr1 0.0000 0.0000 0.0000 1
Al1 0.0000 0.5000 0.5000 1
V1 0.0000 0.0000 0.5000 1
Cl1 0.5000 0.5000 0.0000 1
```

Uncorrected energy ... -24.8 eV/f.u.
D(E_F) ... 4.63 states/eV per cell
Magnetization ... 1.30 μB/cell